This record from Alexandria via LeMat-Bulk describes crystalline BaWO4 at its relaxed geometry. The functional is PBE with a Hubbard U.

Calculated values
VASP energy = -43.9 eV per formula unit
ρ = 6033 kg/m3
volume = 212.04 Å³ per cell
M_tot = 0.000 μB/f.u.
excess energy over the best structure of this formula in the dataset = 0 meV per atom
DOS at the Fermi energy = 0.00 states/eV/f.u.

```
data_BaWO4
_chemical_formula_sum 'Ba2 W2 O8'
_space_group_name_H-M_alt 'P 1'
_space_group_IT_number 1
_space_group_name_Hall 'P 1'
_cell_length_a 7.610
_cell_length_b 7.610
_cell_length_c 7.610
_cell_angle_alpha 135.70
_cell_angle_beta 135.70
_cell_angle_gamma 64.45
loop_
_atom_site_label
_atom_site_fract_x
_atom_site_fract_y
_atom_site_fract_z
Ba1 0.375 0.125 0.250
Ba2 0.625 0.875 0.750
W1 0.125 0.375 0.750
W2 0.875 0.625 0.250
O1 0.078 0.686 0.856
O2 0.186 0.830 0.608
O3 0.278 0.422 0.108
O4 0.330 0.222 0.644
O5 0.670 0.778 0.356
O6 0.722 0.578 0.892
O7 0.814 0.170 0.392
O8 0.922 0.314 0.144
```